[1]
The following is a GGA-PBE calculation of a relaxed structure of Ac2MnAs4Pd3, from Alexandria.

Cell: 4.508 4.508 10.278 Å, 90.00 90.00 90.00°
Space group P-4m2 (No. 115)
One atom of each set of equivalent atoms:
Ac1 0.000 0.500 0.243 [2 per cell]
Mn1 0.000 0.000 0.500 [1 per cell]
As1 0.000 0.000 0.000 [1 per cell]
As2 0.000 0.500 0.630 [2 per cell]
As3 0.500 0.500 0.000 [1 per cell]
Pd1 0.000 0.500 0.880 [2 per cell]
Pd2 0.500 0.500 0.500 [1 per cell]

Results
Magnetization (μB/f.u.): 4.0
V (Å³ per atom): 20.890
VASP energy (eV per atom): -6.003

=====

[2]
The following is a GGA-PBE calculation of a relaxed structure of RbMn2CuSe4, from Alexandria.

Cell: 3.676 16.258 13.683 Å, 90.00 90.00 90.00°
Space group Cmcm (No. 63)
One atom of each set of equivalent atoms:
Rb1 0.000 0.171 0.250 [4 per cell]
Mn1 0.000 0.412 0.087 [8 per cell]
Cu1 0.000 0.113 0.750 [4 per cell]
Se1 0.000 0.000 0.000 [4 per cell]
Se2 0.000 0.192 0.600 [8 per cell]
Se3 0.000 0.486 0.250 [4 per cell]

Results
Magnetization (μB/f.u.): 8.0
Energy relative to the elements, uncorrected (eV per atom): -0.52
V (Å³ per atom): 25.555